Here is a relaxed BaHgMo2 crystal from the Alexandria database. Energies are from PBE.

Cell: 4.2751 4.2751 5.0447 Å, 90.00 90.00 90.00°
Space group P4/mmm (No. 123)
One atom of each set of equivalent atoms:
Ba (0.0000, 0.0000, 0.0000) (multiplicity 1)
Hg (0.5000, 0.5000, 0.0000) (multiplicity 1)
Mo (0.0000, 0.5000, 0.5000) (multiplicity 2)

Summary:
* formation enthalpy at 0 K: 1315 meV/atom
* uncorrected energy: -18.6 eV/f.u.


Here is a relaxed Pr3Te3Br crystal from the Alexandria database. Energies are from PBE.

Cell: 9.4787 9.4787 18.9592 Å, 90.00 90.00 120.00°
Space group R-3 (No. 148, hexagonal axes)
One atom of each set of equivalent atoms:
Pr (0.0021, 0.3673, 0.0767) (multiplicity 18)
Te (0.0030, 0.7100, 0.0891) (multiplicity 18)
Br (0.0000, 0.0000, 0.3290) (multiplicity 6)

Summary:
* uncorrected energy: -35.4 eV/f.u.


Here is a relaxed Pa4Be crystal from the Alexandria database. Energies are from PBE.

Cell: 4.9430 4.9430 4.9430 Å, 90.00 90.00 90.00°
Space group Pm-3m (No. 221)
One atom of each set of equivalent atoms:
Pa (0.0000, 0.0000, 0.0000) (multiplicity 1)
Pa (0.0000, 0.5000, 0.5000) (multiplicity 3)
Be (0.5000, 0.5000, 0.5000) (multiplicity 1)

Summary:
* formation enthalpy at 0 K: 610 meV/atom
* uncorrected energy: -38.7 eV/f.u.


Here is a relaxed Cd3AsPd crystal from the Alexandria database. Energies are from PBE.

Cell: 5.1776 5.1776 5.1776 Å, 90.00 90.00 90.00°
Space group Pm-3m (No. 221)
One atom of each set of equivalent atoms:
Cd (0.0000, 0.0000, 0.5000) (multiplicity 3)
As (0.0000, 0.0000, 0.0000) (multiplicity 1)
Pd (0.5000, 0.5000, 0.5000) (multiplicity 1)

Summary:
* formation enthalpy at 0 K: 554 meV/atom
* polymorph energy (0 for the lowest one): 5.40 kcal/mol of atoms
* uncorrected energy: -9.8 eV/f.u.


The highest uncorrected energy belongs to which entry? Cd3AsPd


Please write out number 1 again, unchanged.
Here is a relaxed BaHgMo2 crystal from the Alexandria database. Energies are from PBE.

Cell: 4.2751 4.2751 5.0447 Å, 90.00 90.00 90.00°
Space group P4/mmm (No. 123)
One atom of each set of equivalent atoms:
Ba (0.0000, 0.0000, 0.0000) (multiplicity 1)
Hg (0.5000, 0.5000, 0.0000) (multiplicity 1)
Mo (0.0000, 0.5000, 0.5000) (multiplicity 2)

Summary:
* formation enthalpy at 0 K: 1315 meV/atom
* uncorrected energy: -18.6 eV/f.u.


uncorrected energy of number 4 (Cd3AsPd)? -9.8 eV/f.u.


What is the formula in the third record? Pa4Be